Material: Na2Li2Hg
Method: DFT, GGA-PBEsol
State: optimized geometry

extended XYZ file:
```
10
Lattice="7.010 0.000 0.000 0.000 7.010 0.000 0.000 0.000 5.016" Properties=species:S:1:pos:R:3 pbc="T T T"
Na 1.264 2.241 0.000
Na 2.241 5.746 0.000
Na 4.769 1.264 0.000
Na 5.746 4.769 0.000
Li 1.014 4.519 2.508
Li 2.491 1.014 2.508
Li 4.519 5.996 2.508
Li 5.996 2.491 2.508
Hg 0.000 0.000 2.508
Hg 3.505 3.505 2.508
```

Values from the calculation:
The value obtained for the total magnetization is 0.000 μB/cell.

=====

Material: Rb3PS
Method: DFT, GGA-PBEsol
State: optimized geometry

extended XYZ file:
```
5
Lattice="6.198 0.000 0.000 0.000 6.198 0.000 0.000 0.000 6.198" Properties=species:S:1:pos:R:3 pbc="T T T"
Rb 0.000 0.000 3.099
Rb 0.000 3.099 0.000
Rb 3.099 0.000 0.000
P 0.000 0.000 0.000
S 3.099 3.099 3.099
```

Values from the calculation:
The value obtained for the total magnetization is 2.027 μB/cell. Its formation energy without anion corrections is 0.752 kcal/mol of atoms.

=====

Number 1: raw total energy -7.8 eV/f.u.. Number 2: raw total energy -13.1 eV/f.u..